Entry 1:
# ZnSb4H18S7N6 (PBE, relaxed)
data_ZnSb4H18S7N6
_space_group_name_H-M_alt 'P -1'
_space_group_IT_number 2
_cell_length_a 7.138
_cell_length_b 11.631
_cell_length_c 12.462
_cell_angle_alpha 76.66
_cell_angle_beta 89.57
_cell_angle_gamma 80.04
loop_
_space_group_symop_operation_xyz
'x,y,z'
'-x,-y,-z'
loop_
_atom_site_label
_atom_site_type_symbol
_atom_site_fract_x
_atom_site_fract_y
_atom_site_fract_z
_atom_site_occupancy
Zn1 Zn 0.172 0.257 0.347 1
Sb1 Sb 0.184 0.281 0.828 1
Sb2 Sb 0.265 0.976 0.004 1
Sb3 Sb 0.284 0.801 0.279 1
Sb4 Sb 0.379 0.618 0.063 1
H1 H 0.023 0.358 0.135 1
H2 H 0.039 0.863 0.775 1
H3 H 0.071 0.044 0.337 1
H4 H 0.080 0.561 0.589 1
H5 H 0.117 0.184 0.570 1
H6 H 0.126 0.864 0.650 1
H7 H 0.131 0.455 0.176 1
H8 H 0.166 0.687 0.556 1
H9 H 0.180 0.063 0.519 1
H10 H 0.189 0.605 0.684 1
H11 H 0.257 0.343 0.130 1
H12 H 0.275 0.448 0.422 1
H13 H 0.343 0.138 0.546 1
H14 H 0.424 0.056 0.324 1
H15 H 0.433 0.415 0.334 1
H16 H 0.445 0.328 0.459 1
H17 H 0.461 0.851 0.632 1
H18 H 0.488 0.170 0.233 1
S1 S 0.035 0.848 0.979 1
S2 S 0.059 0.658 0.336 1
S3 S 0.285 0.075 0.803 1
S4 S 0.306 0.864 0.445 1
S5 S 0.342 0.550 0.886 1
S6 S 0.437 0.366 0.704 1
S7 S 0.461 0.214 0.021 1
N1 N 0.003 0.870 0.693 1
N2 N 0.097 0.635 0.616 1
N3 N 0.143 0.366 0.176 1
N4 N 0.206 0.148 0.516 1
N5 N 0.352 0.377 0.396 1
N6 N 0.438 0.145 0.311 1
# **Final energy**: -4.726 eV per atom
# **Crystal system**: triclinic



Entry 2:
# Sm2IBrNCl (PBE, relaxed)
data_Sm2IBrNCl
_space_group_name_H-M_alt 'C 1 2/m 1'
_space_group_IT_number 12
_cell_length_a 17.503
_cell_length_b 4.033
_cell_length_c 11.470
_cell_angle_alpha 90.00
_cell_angle_beta 120.77
_cell_angle_gamma 90.00
loop_
_space_group_symop_operation_xyz
'x,y,z'
'-x,-y,-z'
'-x,y,-z'
'x,-y,z'
'x+1/2,y+1/2,z'
'-x+1/2,-y+1/2,-z'
'-x+1/2,y+1/2,-z'
'x+1/2,-y+1/2,z'
loop_
_atom_site_label
_atom_site_type_symbol
_atom_site_fract_x
_atom_site_fract_y
_atom_site_fract_z
_atom_site_occupancy
Sm1 Sm 0.082 0.000 0.459 1
Sm2 Sm 0.130 0.500 0.778 1
I1 I 0.157 0.000 0.023 1
Br1 Br 0.052 0.500 0.251 1
N1 N 0.071 0.000 0.651 1
Cl1 Cl 0.206 0.500 0.606 1
# **Crystal system**: monoclinic
# **Excess energy over the best structure of this formula in the dataset**: 0.000 eV per atom



Entry 3:
# Tb2TmIn3NiAg2 (PBE, relaxed)
data_Tb2TmIn3NiAg2
_space_group_name_H-M_alt 'A m m 2'
_space_group_IT_number 38
_cell_length_a 3.882
_cell_length_b 13.388
_cell_length_c 7.762
_cell_angle_alpha 90.00
_cell_angle_beta 90.00
_cell_angle_gamma 90.00
loop_
_space_group_symop_operation_xyz
'x,y,z'
'-x,-y,z'
'-x,y,z'
'x,-y,z'
'x,y+1/2,z+1/2'
'-x,-y+1/2,z+1/2'
'-x,y+1/2,z+1/2'
'x,-y+1/2,z+1/2'
loop_
_atom_site_label
_atom_site_type_symbol
_atom_site_fract_x
_atom_site_fract_y
_atom_site_fract_z
_atom_site_occupancy
Tb1 Tb 0.000 0.200 0.000 1
Tm1 Tm 0.000 0.000 0.598 1
In1 In 0.500 0.000 0.952 1
In2 In 0.500 0.123 0.324 1
Ni1 Ni 0.000 0.000 0.201 1
Ag1 Ag 0.500 0.165 0.699 1
# **Final energy**: -4.140 eV per atom
# **Crystal system**: orthorhombic



Entry 4:
# GdSnTe3Au (PBE, relaxed)
data_GdSnTe3Au
_space_group_name_H-M_alt 'P n m a'
_space_group_IT_number 62
_cell_length_a 11.197
_cell_length_b 4.285
_cell_length_c 14.771
_cell_angle_alpha 90.00
_cell_angle_beta 90.00
_cell_angle_gamma 90.00
loop_
_space_group_symop_operation_xyz
'x,y,z'
'-x,-y,-z'
'-x+1/2,-y,z+1/2'
'x+1/2,y,-z+1/2'
'x+1/2,-y+1/2,-z+1/2'
'-x+1/2,y+1/2,z+1/2'
'-x,y+1/2,-z'
'x,-y+1/2,z'
loop_
_atom_site_label
_atom_site_type_symbol
_atom_site_fract_x
_atom_site_fract_y
_atom_site_fract_z
_atom_site_occupancy
Gd1 Gd 0.016 0.250 0.245 1
Sn1 Sn 0.228 0.750 0.529 1
Te1 Te 0.041 0.250 0.605 1
Te2 Te 0.071 0.750 0.096 1
Te3 Te 0.236 0.750 0.846 1
Au1 Au 0.244 0.250 0.720 1
# **Crystal system**: orthorhombic
# **Excess energy over the best structure of this formula in the dataset**: 0.000 eV per atom



| no. | volume (Å³ per atom) |
| --- | --- |
| 1 | 13.8 |
| 2 | 29.0 |
| 3 | 22.4 |
| 4 | 29.5 |